This record from Alexandria describes crystalline Na2Ga5Au3 at its relaxed geometry. The functional is PBE.

a = 12.7800 Å, b = 12.7800 Å, c = 7.0065 Å
α = 90.00°, β = 90.00°, γ = 159.81°
Sites, in units of the cell vectors:
Na1 0.0162 0.9838 0.5000
Na2 0.3235 0.6765 0.4560
Na3 0.6765 0.3235 0.9560
Na4 0.9838 0.0162 0.0000
Ga1 0.1057 0.8943 0.1564
Ga2 0.2061 0.7939 0.6485
Ga3 0.2066 0.7934 0.2459
Ga4 0.3788 0.6212 0.0109
Ga5 0.4500 0.5500 0.3289
Ga6 0.5500 0.4500 0.8289
Ga7 0.6212 0.3788 0.5109
Ga8 0.7934 0.2066 0.7459
Ga9 0.7939 0.2061 0.1485
Ga10 0.8943 0.1057 0.6564
Au1 0.1065 0.8935 0.7637
Au2 0.2746 0.7254 0.9408
Au3 0.4482 0.5518 0.7152
Au4 0.5518 0.4482 0.2152
Au5 0.7254 0.2746 0.4408
Au6 0.8935 0.1065 0.2637

symmetry = Cmc2_1 (36)
calculated formation energy = -0.28 eV per atom
volume = 394.9 Å³/cell